CoClF3 | PBE with a Hubbard U | optimized geometry

* space-group type: Pm-3m, No. 221
* relative energy among the computed polymorphs: 539 meV per atom

a b c (Å): 4.0039 4.0039 4.0039
angles (deg): 90.00 90.00 90.00
Closest atoms and distances in Å follow each position.
Atoms (fractional coordinates):
Co 0.0000 0.0000 0.0000  6 F 2.00
Cl 0.5000 0.5000 0.5000  12 F 2.83
F 0.0000 0.0000 0.5000  2 Co 2.00
F 0.0000 0.5000 0.0000  2 Co 2.00
F 0.5000 0.0000 0.0000  2 Co 2.00